# 1
Entry from the Alexandria database: a relaxed Pr2SmUAs4 crystal (PBE-GGA).

Summary:
raw total energy	-0.25101	hartree per atom
magnetic moment	2.31	μB/f.u.
space-group type	P2/m (10)

a b c (Å): 7.3183 4.2082 7.3212
angles (deg): 90.00 109.12 90.00
Closest atoms and distances in Å follow each position.
Fractional positions:
Pr 0.0000 0.0000 0.0000  6 As 3.06-3.08
Pr 0.5000 0.5000 0.0000  6 As 3.01
Sm 0.0000 0.5000 0.5000  6 As 2.96-2.97
U 0.5000 0.0000 0.5000  6 As 2.89-2.92
As 0.2540 0.0000 0.7382  1 U 2.89, 2 Sm 2.97, 3 Pr 3.01-3.08
As 0.2593 0.5000 0.2634  2 U 2.92, 1 Sm 2.96, 3 Pr 3.01-3.06
As 0.7407 0.5000 0.7366  2 U 2.92, 1 Sm 2.96, 3 Pr 3.01-3.06
As 0.7460 0.0000 0.2618  1 U 2.89, 2 Sm 2.97, 3 Pr 3.01-3.08

# 2
Entry from the Alexandria database: a relaxed AlZnAu crystal (PBE-GGA).

Summary:
raw total energy	-0.11188	hartree per atom
magnetic moment	0.00	μB/f.u.
space-group type	C2/c (15)

a b c (Å): 6.2042 6.2042 7.3033
angles (deg): 115.18 115.18 89.77
Closest atoms and distances in Å follow each position.
Fractional positions:
Al 0.0046 0.2548 0.0096  4 Au 2.60
Al 0.2548 0.0046 0.5096  4 Au 2.60
Al 0.7452 0.9954 0.4904  4 Au 2.60
Al 0.9954 0.7452 0.9904  4 Au 2.60
Zn 0.2569 0.5062 0.5121  4 Au 2.67-2.68, 1 Zn 2.78, 1 Al 2.93
Zn 0.4938 0.7431 0.9879  4 Au 2.67-2.68, 1 Zn 2.78, 1 Al 2.93
Zn 0.5062 0.2569 0.0121  4 Au 2.67-2.68, 1 Zn 2.78, 1 Al 2.93
Zn 0.7431 0.4938 0.4879  4 Au 2.67-2.68, 1 Zn 2.78, 1 Al 2.93
Au 0.1145 0.3647 0.7495  4 Al 2.60, 4 Zn 2.67-2.68
Au 0.3647 0.1145 0.2495  4 Al 2.60, 4 Zn 2.67-2.68
Au 0.6353 0.8855 0.7505  4 Al 2.60, 4 Zn 2.67-2.68
Au 0.8855 0.6353 0.2505  4 Al 2.60, 4 Zn 2.67-2.68

# 3
Entry from the Alexandria database: a relaxed SiRuCl2 crystal (PBE-GGA).

Summary:
polymorph energy (0 for the lowest one)	4.02	eV per formula unit
uncorrected formation energy	0.71	eV per atom
raw total energy	-0.14300	hartree per atom
magnetic moment	1.84	μB/f.u.
space-group type	F-43m (216)

a b c (Å): 4.5858 4.5858 4.5858
angles (deg): 60.00 60.00 60.00
Closest atoms and distances in Å follow each position.
Fractional positions:
Si 0.0000 0.0000 0.0000  4 Cl 2.81, 4 Ru 2.81
Ru 0.2500 0.2500 0.2500  4 Cl 2.81, 4 Si 2.81
Cl 0.5000 0.5000 0.5000  4 Ru 2.81, 4 Cl 2.81
Cl 0.7500 0.7500 0.7500  4 Cl 2.81, 4 Si 2.81

# 4
Entry from the Alexandria database: a relaxed NaZnIn11 crystal (PBE-GGA).

Summary:
raw total energy	-0.09139	hartree per atom
magnetic moment	0.00	μB/f.u.
space-group type	C2/m (12)

a b c (Å): 8.3108 8.3108 8.0969
angles (deg): 96.03 96.03 137.90
Closest atoms and distances in Å follow each position.
Fractional positions:
Na 0.0000 0.0000 0.0000  14 In 3.69-4.05
Zn 0.5000 0.5000 0.5000  10 In 2.98-3.30
In 0.0000 0.0000 0.5000  2 Zn 2.98, 8 In 3.21-3.25
In 0.0000 0.5000 0.0000  8 In 2.98-3.28
In 0.0105 0.3608 0.3628  6 In 3.15-3.50, 1 Zn 3.30
In 0.2981 0.5011 0.7863  1 Zn 3.00, 6 In 3.15-3.31
In 0.3608 0.0105 0.3628  6 In 3.15-3.50, 1 Zn 3.30
In 0.4989 0.7019 0.2137  1 Zn 3.00, 6 In 3.15-3.31
In 0.5000 0.0000 0.0000  8 In 2.98-3.28
In 0.5011 0.2981 0.7863  1 Zn 3.00, 6 In 3.15-3.31
In 0.6392 0.9895 0.6372  6 In 3.15-3.50, 1 Zn 3.30
In 0.7019 0.4989 0.2137  1 Zn 3.00, 6 In 3.15-3.31
In 0.9895 0.6392 0.6372  6 In 3.15-3.50, 1 Zn 3.30

# 5
Entry from the Alexandria database: a relaxed Ca2MoH crystal (PBE-GGA).

Summary:
polymorph energy (0 for the lowest one)	1.50	eV per formula unit
raw total energy	-0.12866	hartree per atom
magnetic moment	3.20	μB/f.u.
space-group type	Fm-3m (225)

a b c (Å): 5.1379 5.1379 5.1379
angles (deg): 60.00 60.00 60.00
Closest atoms and distances in Å follow each position.
Fractional positions:
Ca 0.2500 0.2500 0.2500  4 H 3.15, 4 Mo 3.15
Ca 0.7500 0.7500 0.7500  4 H 3.15, 4 Mo 3.15
Mo 0.0000 0.0000 0.0000  8 Ca 3.15
H 0.5000 0.5000 0.5000  8 Ca 3.15

# 6
Entry from the Alexandria database: a relaxed Na3CaN crystal (PBE-GGA).

Summary:
polymorph energy (0 for the lowest one)	0.00	eV per formula unit
uncorrected formation energy	0.41	eV per atom
raw total energy	-0.08992	hartree per atom
magnetic moment	0.00	μB/f.u.
space-group type	Pm-3m (221)

a b c (Å): 5.0185 5.0185 5.0185
angles (deg): 90.00 90.00 90.00
Closest atoms and distances in Å follow each position.
Fractional positions:
Na 0.0000 0.0000 0.5000  2 N 2.51
Na 0.0000 0.5000 0.0000  2 N 2.51
Na 0.5000 0.0000 0.0000  2 N 2.51
Ca 0.5000 0.5000 0.5000  12 Na 3.55
N 0.0000 0.0000 0.0000  6 Na 2.51